Ce5Pt2Rh2 | PBE | relaxed

**D(E_F)**: 89.98 states/eV per cell
**ΔH_f (0 K)**: -752 meV/atom
**Total moment**: 11.145 μB per cell

Cell and atoms, written as CIF:
```
data_Ce5Pt2Rh2
_cell_length_a 17.1786
_cell_length_b 7.0792
_cell_length_c 7.2881
_cell_angle_alpha 90.00
_cell_angle_beta 90.00
_cell_angle_gamma 90.00
_space_group_name_H-M_alt 'I m a 2'
_space_group_IT_number 46
loop_
_space_group_symop_operation_xyz
'x,y,z'
'-x,-y,z'
'-x+1/2,y,z'
'x+1/2,-y,z'
'x+1/2,y+1/2,z+1/2'
'-x+1/2,-y+1/2,z+1/2'
'-x,y+1/2,z+1/2'
'x,-y+1/2,z+1/2'
loop_
_atom_site_label
_atom_site_fract_x
_atom_site_fract_y
_atom_site_fract_z
Ce1 0.0729 0.1787 0.0000
Ce2 0.1486 0.6892 0.1239
Ce3 0.2500 0.1249 0.2845
Pt1 0.0000 0.0000 0.6884
Pt2 0.2500 0.5233 0.4168
Rh1 0.0803 0.5331 0.8192
```